No. 1
A PBEsol-optimized structure of Zr6Fe7, computed with meta-GGA SCAN.

Cell: 4.9297 4.9297 9.7187 Å, 75.31 75.31 60.00°
With the nearest neighbours (Å) after each atom.
Fractional coordinates of all 13 atoms:
Fe: 0.4058 0.4058 0.2844  5 Fe 2.45-2.47, 2 Zr 2.75
Fe: 0.9039 0.4058 0.2844  5 Fe 2.45-2.47, 2 Zr 2.75
Fe: 0.4058 0.9039 0.2844  5 Fe 2.45-2.47, 2 Zr 2.75
Fe: 0.5942 0.5942 0.7156  5 Fe 2.45-2.47, 2 Zr 2.75
Fe: 0.5942 0.0961 0.7156  5 Fe 2.45-2.47, 2 Zr 2.75
Fe: 0.0961 0.5942 0.7156  5 Fe 2.45-2.47, 2 Zr 2.75
Fe: 0.5000 0.5000 0.5000  6 Fe 2.45
Zr: 0.9488 0.9488 0.1536  6 Fe 2.75, 2 Zr 2.82-2.85
Zr: 0.0512 0.0512 0.8464  6 Fe 2.75, 2 Zr 2.82-2.85
Zr: 0.8475 0.8475 0.4574  12 Fe 2.79-2.94, 4 Zr 2.82-2.95
Zr: 0.1525 0.1525 0.5426  12 Fe 2.79-2.94, 4 Zr 2.82-2.95
Zr: 0.6669 0.6669 0.9994  9 Zr 2.85-3.19, 6 Fe 3.00
Zr: 0.3331 0.3331 0.0006  9 Zr 2.85-3.19, 6 Fe 3.00

Values from the calculation:
Volume, Å³ per atom: 15.04
Total magnetization, μB/f.u.: 11.20
Fermi-level density of states, states/eV/atom: 0.7954
E_form, meV/atom: -120


No. 2
A PBEsol-optimized structure of Zr3Fe, computed with meta-GGA SCAN.

Cell: 3.1214 5.1674 5.5992 Å, 117.48 106.18 90.00°
With the nearest neighbours (Å) after each atom.
Fractional coordinates of all 4 atoms:
Fe: 0.0000 0.9775 0.0000  6 Zr 2.54-2.58
Zr: 0.3000 0.9334 0.6001  2 Fe 2.58
Zr: 0.5000 0.5891 0.0000  2 Fe 2.54
Zr: 0.7000 0.3333 0.3999  2 Fe 2.58

Values from the calculation:
Volume, Å³ per atom: 19.02
Total magnetization, μB/f.u.: 0.00
Fermi-level density of states, states/eV/atom: 0.9928
E_form, meV/atom: 14


No. 3
A PBEsol-optimized structure of Zr2Fe, computed with meta-GGA SCAN.

Cell: 8.4500 8.4500 8.4500 Å, 60.00 60.00 60.00°
With the nearest neighbours (Å) after each atom.
Fractional coordinates of all 24 atoms:
Fe: 0.8438 0.4687 0.8438  6 Zr 2.67
Fe: 0.8438 0.8438 0.4687  6 Zr 2.67
Fe: 0.8438 0.8438 0.8438  6 Zr 2.67
Fe: 0.4687 0.8438 0.8438  6 Zr 2.67
Fe: 0.4062 0.7813 0.4062  6 Zr 2.67
Fe: 0.4062 0.4062 0.7813  6 Zr 2.67
Fe: 0.4062 0.4062 0.4062  6 Zr 2.67
Fe: 0.7813 0.4062 0.4062  6 Zr 2.67
Zr: 0.1250 0.6250 0.6250  6 Fe 2.67
Zr: 0.6250 0.6250 0.6250  6 Fe 2.67
Zr: 0.6250 0.6250 0.1250  6 Fe 2.67
Zr: 0.6250 0.1250 0.6250  6 Fe 2.67
Zr: 0.0617 0.4383 0.4383  2 Fe 2.67
Zr: 0.0617 0.4383 0.0617  2 Fe 2.67
Zr: 0.4383 0.4383 0.0617  2 Fe 2.67
Zr: 0.0617 0.0617 0.4383  2 Fe 2.67
Zr: 0.4383 0.0617 0.4383  2 Fe 2.67
Zr: 0.4383 0.0617 0.0617  2 Fe 2.67
Zr: 0.1883 0.8117 0.8117  2 Fe 2.67
Zr: 0.1883 0.8117 0.1883  2 Fe 2.67
Zr: 0.8117 0.8117 0.1883  2 Fe 2.67
Zr: 0.1883 0.1883 0.8117  2 Fe 2.67
Zr: 0.8117 0.1883 0.8117  2 Fe 2.67
Zr: 0.8117 0.1883 0.1883  2 Fe 2.67

Values from the calculation:
Volume, Å³ per atom: 17.78
Total magnetization, μB/f.u.: 0.83
Fermi-level density of states, states/eV/atom: 0.9306
E_form, meV/atom: -7